[1]
The following is a GGA-PBE calculation of a geometry-optimized Na2IrPb2O6 structure, from the Alexandria database.

abc: 6.2656 9.6069 5.9039
angles: 90.00 110.26 90.00
Closest atoms and distances in Å follow each position.
Space group C2/m (No. 12)
Unique sites:
Na 0.0000 0.1517 0.0000 (multiplicity 4)  4 O 2.37-2.43
Ir 0.0000 0.5000 0.0000 (multiplicity 2)  6 O 1.98-2.03
Pb 0.0000 0.3193 0.5000 (multiplicity 4)  6 O 2.40-2.68
O 0.1861 0.3526 0.2105 (multiplicity 8)  1 Ir 1.98
O 0.1868 0.5000 0.7800 (multiplicity 4)  1 Ir 2.03

Output
E_form (uncorrected): -1.0865 eV/atom
Crystal system: monoclinic

***

[2]
The following is a GGA-PBE calculation of a geometry-optimized YSe2Br structure, from the Alexandria database.

abc: 7.2526 7.2526 7.2526
angles: 90.00 90.00 90.00
Closest atoms and distances in Å follow each position.
Space group Fm-3m (No. 225)
Unique sites:
Y 0.0000 0.0000 0.0000 (multiplicity 4)  8 Se 3.14
Se 0.2500 0.2500 0.2500 (multiplicity 8)  4 Y 3.14, 4 Br 3.14
Br 0.0000 0.0000 0.5000 (multiplicity 4)  8 Se 3.14

Output
E_form (uncorrected): -0.6107 eV/atom
Crystal system: cubic

***

[3]
The following is a GGA-PBE calculation of a geometry-optimized TbPm2HoEr5 structure, from the Alexandria database.

abc: 8.5969 8.5969 15.4900
angles: 90.00 90.00 90.00
Closest atoms and distances in Å follow each position.
Space group I4/mcm (No. 140)
Unique sites:
Tb 0.0000 0.0000 0.2500 (multiplicity 4)  10 Er 3.52-3.87
Pm 0.1170 0.3830 0.0000 (multiplicity 8)  1 Pm 2.85, 2 Er 3.00
Ho 0.0000 0.5000 0.2500 (multiplicity 4)  4 Er 3.09
Er 0.0000 0.0000 0.0000 (multiplicity 4)  4 Pm 3.44, 8 Er 3.76
Er 0.2116 0.2884 0.3607 (multiplicity 16)  1 Pm 3.00, 1 Ho 3.09

Output
Crystal system: tetragonal
Energy relative to the elements: 0.28 eV/atom

***

[4]
The following is a GGA-PBE calculation of a geometry-optimized Ac2Sn2Au15 structure, from the Alexandria database.

abc: 9.8348 9.8348 14.5094
angles: 90.00 90.00 120.00
Closest atoms and distances in Å follow each position.
Space group R-3m (No. 166, hexagonal axes)
Unique sites:
Ac 0.0000 0.0000 0.1544 (multiplicity 6)  15 Au 3.40-3.77, 1 Sn 3.58
Sn 0.0000 0.0000 0.4013 (multiplicity 6)  1 Sn 2.86, 6 Au 3.01-3.18
Au 0.0000 0.3110 0.5000 (multiplicity 18)  8 Au 2.87-3.07
Au 0.0000 0.5000 0.0000 (multiplicity 9)  8 Au 2.87-2.90, 2 Sn 3.01
Au 0.0117 0.5059 0.6510 (multiplicity 18)  8 Au 2.78-3.07

Output
Crystal system: trigonal
Energy relative to the elements: -0.34 eV/atom

***

[5]
The following is a GGA-PBE calculation of a geometry-optimized Pm7SmCd2 structure, from the Alexandria database.

abc: 9.0790 16.0479 5.3815
angles: 90.00 90.00 90.00
Closest atoms and distances in Å follow each position.
Space group Cmmm (No. 65)
Unique sites:
Pm 0.0000 0.0000 0.0000 (multiplicity 2)  2 Cd 3.16, 4 Pm 3.44
Pm 0.0000 0.2756 0.5000 (multiplicity 4)  2 Cd 2.97
Pm 0.1831 0.3824 0.0000 (multiplicity 8)  2 Cd 3.14-3.41, 2 Pm 3.32-3.44
Sm 0.0000 0.5000 0.5000 (multiplicity 2)  10 Pm 3.60-3.68
Cd 0.0000 0.1967 0.0000 (multiplicity 4)  5 Pm 2.97-3.16

Output
Crystal system: orthorhombic
Energy relative to the elements: 0.38 eV/atom

***

[6]
The following is a GGA-PBE calculation of a geometry-optimized Nd12Tm6Tl structure, from the Alexandria database.

abc: 15.6270 15.6270 8.8490
angles: 90.00 90.00 120.00
Closest atoms and distances in Å follow each position.
Space group R-3 (No. 148, hexagonal axes)
Unique sites:
Nd 0.0351 0.7524 0.3397 (multiplicity 18)  8 Nd 3.56-3.68, 4 Tm 3.58-3.62
Nd 0.0724 0.5094 0.6645 (multiplicity 18)  1 Tl 3.56, 8 Nd 3.56-3.68, 3 Tm 3.61-3.66
Tm 0.0176 0.8806 0.6635 (multiplicity 18)  4 Tm 3.50-3.53, 7 Nd 3.58-3.66, 1 Tl 3.60
Tl 0.0000 0.0000 0.0000 (multiplicity 3)  6 Nd 3.56, 6 Tm 3.60

Output
Crystal system: trigonal
Energy relative to the elements: 0.00 eV/atom

***

[7]
The following is a GGA-PBE calculation of a geometry-optimized HoSi2 structure, from the Alexandria database.

abc: 3.9515 3.9515 14.6325
angles: 90.00 90.00 90.00
Closest atoms and distances in Å follow each position.
Space group I4_1/amd (No. 141, origin choice 2)
Unique sites:
Ho 0.0000 0.2500 0.3750 (multiplicity 4)  12 Si 3.04-3.16
Si 0.0000 0.2500 0.7933 (multiplicity 8)  3 Si 2.35-2.39

Output
E_form (uncorrected): -0.5213 eV/atom
Crystal system: tetragonal

***

[8]
The following is a GGA-PBE calculation of a geometry-optimized SmDyErGa structure, from the Alexandria database.

abc: 7.5495 7.5495 7.5495
angles: 90.00 90.00 90.00
Closest atoms and distances in Å follow each position.
Space group F-43m (No. 216)
Unique sites:
Sm 0.0000 0.0000 0.0000 (multiplicity 4)  4 Er 3.27, 4 Ga 3.27
Dy 0.0000 0.0000 0.5000 (multiplicity 4)  4 Er 3.27, 4 Ga 3.27
Er 0.2500 0.2500 0.7500 (multiplicity 4)  4 Dy 3.27, 4 Sm 3.27
Ga 0.2500 0.2500 0.2500 (multiplicity 4)  4 Dy 3.27, 4 Sm 3.27

Output
Crystal system: cubic
Energy relative to the elements: -0.09 eV/atom

***

[9]
The following is a GGA-PBE calculation of a geometry-optimized BaTbTcN3 structure, from the Alexandria database.

abc: 6.9486 3.5949 9.3992
angles: 90.00 107.07 90.00
Closest atoms and distances in Å follow each position.
Space group P2_1/m (No. 11)
Unique sites:
Ba 0.1993 0.2500 0.2088 (multiplicity 2)  5 N 2.75-2.97
Tb 0.3472 0.2500 0.8635 (multiplicity 2)  6 N 2.33-2.55
Tc 0.1294 0.7500 0.5787 (multiplicity 2)  1 N 1.78
N 0.0258 0.2500 0.6454 (multiplicity 2)  3 Tc 2.07-2.10
N 0.3072 0.7500 0.0169 (multiplicity 2)  3 Tb 2.33-2.37
N 0.3878 0.7500 0.6842 (multiplicity 2)  1 Tc 1.78

Output
E_form (uncorrected): -0.7061 eV/atom
Crystal system: monoclinic

***

[10]
The following is a GGA-PBE calculation of a geometry-optimized CsTl2Hg4Bi structure, from the Alexandria database.

abc: 4.3872 4.3872 14.7835
angles: 90.00 90.00 90.00
Closest atoms and distances in Å follow each position.
Space group P4/mmm (No. 123)
Unique sites:
Cs 0.0000 0.0000 0.0000 (multiplicity 1)  8 Hg 3.81
Tl 0.5000 0.5000 0.3891 (multiplicity 2)  1 Tl 3.28, 4 Hg 3.43, 4 Bi 3.51
Hg 0.0000 0.5000 0.2109 (multiplicity 4)  4 Hg 3.10, 2 Tl 3.43
Bi 0.0000 0.0000 0.5000 (multiplicity 1)  8 Tl 3.51

Output
Crystal system: tetragonal
Energy relative to the elements: -0.04 eV/atom

***

[11]
The following is a GGA-PBE calculation of a geometry-optimized SrCo2Te structure, from the Alexandria database.

abc: 3.4000 3.4000 7.2290
angles: 90.00 90.00 90.00
Closest atoms and distances in Å follow each position.
Space group P4mm (No. 99)
Unique sites:
Sr 0.0000 0.0000 0.0000 (multiplicity 1)  5 Co 3.08-3.26, 4 Sr 3.40
Co 0.0000 0.0000 0.5740 (multiplicity 1)  4 Co 2.56
Co 0.5000 0.5000 0.6964 (multiplicity 1)  1 Te 2.53, 4 Co 2.56
Te 0.5000 0.5000 0.3459 (multiplicity 1)  1 Co 2.53

Output
E_form (uncorrected): 0.2127 eV/atom
Crystal system: tetragonal

***

[12]
The following is a GGA-PBE calculation of a geometry-optimized K2PRh structure, from the Alexandria database.

abc: 4.0501 4.0501 10.2892
angles: 90.00 90.00 90.00
Closest atoms and distances in Å follow each position.
Space group I4/mmm (No. 139)
Unique sites:
K 0.0000 0.5000 0.2500 (multiplicity 4)  4 K 2.86
P 0.0000 0.0000 0.0000 (multiplicity 2)  4 Rh 2.86
Rh 0.0000 0.0000 0.5000 (multiplicity 2)  4 P 2.86

Output
Crystal system: tetragonal
Energy relative to the elements: 0.41 eV/atom